[1]
Below is a geometry-optimized Ca2Bi2Rh3 structure, with properties calculated at the GGA-PBE level.

Cell lengths 7.5577, 7.5577, 7.5577 Å; angles 109.47, 109.47, 109.47 degrees
Last column: nearest neighbours and their distance in Å.
Fractional positions:
Ca: 0.0000 0.4917 0.5000  3 Rh 2.87, 1 Bi 3.16
Ca: 0.0083 0.0083 0.0083  3 Rh 2.87, 1 Bi 3.16
Ca: 0.4917 0.5000 0.0000  3 Rh 2.87, 1 Bi 3.16
Ca: 0.5000 0.0000 0.4917  3 Rh 2.87, 1 Bi 3.16
Bi: 0.0000 0.9104 0.5000  3 Rh 2.68
Bi: 0.5000 0.0000 0.9104  3 Rh 2.68
Bi: 0.5896 0.5896 0.5896  3 Rh 2.68
Bi: 0.9104 0.5000 0.0000  3 Rh 2.68
Rh: 0.0275 0.2775 0.7500  2 Bi 2.68, 2 Ca 2.87, 4 Rh 2.93
Rh: 0.2225 0.2500 0.4725  2 Bi 2.68, 2 Ca 2.87, 4 Rh 2.93
Rh: 0.2500 0.4725 0.2225  2 Bi 2.68, 2 Ca 2.87, 4 Rh 2.93
Rh: 0.2775 0.7500 0.0275  2 Bi 2.68, 2 Ca 2.87, 4 Rh 2.93
Rh: 0.4725 0.2225 0.2500  2 Bi 2.68, 2 Ca 2.87, 4 Rh 2.93
Rh: 0.7500 0.0275 0.2775  2 Bi 2.68, 2 Ca 2.87, 4 Rh 2.93

Computed properties:
Energy of formation ... -0.376 eV per atom

---

[2]
Below is a geometry-optimized ZrCdRe structure, with properties calculated at the GGA-PBE level.

Cell lengths 4.8403, 4.8403, 2.7603 Å; angles 90.00, 90.00, 120.00 degrees
Last column: nearest neighbours and their distance in Å.
Fractional positions:
Zr: 0.0000 0.0000 0.0000  2 Zr 2.76, 3 Re 2.92, 3 Cd 3.00
Cd: 0.3333 0.6667 0.3984  2 Cd 2.76, 3 Re 2.91, 3 Zr 3.00
Re: 0.6667 0.3333 0.6882  2 Re 2.76, 3 Cd 2.91, 3 Zr 2.92

Computed properties:
Energy of formation ... 0.191 eV per atom

---

[3]
Below is a geometry-optimized Ca2SiSe4 structure, with properties calculated at the GGA-PBE level.

Cell lengths 10.0080, 6.3060, 6.3060 Å; angles 110.59, 90.00, 90.00 degrees
Last column: nearest neighbours and their distance in Å.
Fractional positions:
Ca: 0.0000 0.0000 0.0000  6 Se 2.98-3.10
Ca: 0.2500 0.7538 0.3698  4 Se 2.87-3.10
Ca: 0.5000 0.0000 0.0000  6 Se 2.98-3.10
Ca: 0.7500 0.3698 0.7538  4 Se 2.87-3.10
Si: 0.2500 0.3128 0.7770  4 Se 2.29-2.31
Si: 0.7500 0.7770 0.3128  4 Se 2.29-2.31
Se: 0.0633 0.1326 0.5877  1 Si 2.29
Se: 0.2500 0.2734 0.1280  1 Si 2.31
Se: 0.2500 0.6961 0.8380  1 Si 2.31
Se: 0.4367 0.1326 0.5877  1 Si 2.29
Se: 0.5633 0.5877 0.1326  1 Si 2.29
Se: 0.7500 0.1280 0.2734  1 Si 2.31
Se: 0.7500 0.8380 0.6961  1 Si 2.31
Se: 0.9367 0.5877 0.1326  1 Si 2.29

Computed properties:
ΔE_f (raw) ... -1322 meV/atom

---

[4]
Below is a geometry-optimized NaPbIBr2 structure, with properties calculated at the GGA-PBE level.

Cell lengths 7.3345, 7.3345, 11.6864 Å; angles 90.00, 90.00, 146.81 degrees
Last column: nearest neighbours and their distance in Å.
Fractional positions:
Na: 0.0000 0.0000 0.0000  4 Br 3.00, 2 I 3.26
Na: 0.0000 0.0000 0.5000  4 Br 3.00, 2 I 3.26
Pb: 0.2217 0.7783 0.7500  4 Br 3.13, 2 I 3.24
Pb: 0.7783 0.2217 0.2500  4 Br 3.13, 2 I 3.24
I: 0.1025 0.8975 0.2500  2 Pb 3.24, 2 Na 3.26
I: 0.8975 0.1025 0.7500  2 Pb 3.24, 2 Na 3.26
Br: 0.3614 0.6386 0.0785  2 Na 3.00, 2 Pb 3.13
Br: 0.3614 0.6386 0.4215  2 Na 3.00, 2 Pb 3.13
Br: 0.6386 0.3614 0.5785  2 Na 3.00, 2 Pb 3.13
Br: 0.6386 0.3614 0.9215  2 Na 3.00, 2 Pb 3.13

Computed properties:
ΔE_f (raw) ... -1042 meV/atom

---

[5]
Below is a geometry-optimized BaLi2PSe4 structure, with properties calculated at the GGA-PBE level.

Cell lengths 6.5150, 6.5150, 6.5150 Å; angles 114.88, 114.88, 99.12 degrees
Last column: nearest neighbours and their distance in Å.
Fractional positions:
Ba: 0.0000 0.0000 0.0000  8 Se 3.34-3.43
Li: 0.2500 0.7500 0.5000  4 Se 2.64
Li: 0.7500 0.2500 0.5000  4 Se 2.64
P: 0.5000 0.5000 0.0000  4 Se 2.37
Se: 0.1427 0.5293 0.0000  1 P 2.37, 2 Li 2.64
Se: 0.4707 0.4707 0.6134  1 P 2.37, 2 Li 2.64
Se: 0.5293 0.1427 0.0000  1 P 2.37, 2 Li 2.64
Se: 0.8573 0.8573 0.3866  1 P 2.37, 2 Li 2.64

Computed properties:
ΔE_f (raw) ... -970 meV/atom

---

[6]
Below is a geometry-optimized Y4TcPt structure, with properties calculated at the GGA-PBE level.

Cell lengths 5.8879, 5.8879, 5.8879 Å; angles 60.00, 60.00, 60.00 degrees
Last column: nearest neighbours and their distance in Å.
Fractional positions:
Y: 0.1250 0.1250 0.1250  6 Y 2.94
Y: 0.1250 0.1250 0.6250  6 Y 2.94
Y: 0.1250 0.6250 0.1250  6 Y 2.94
Y: 0.6250 0.1250 0.1250  6 Y 2.94
Tc: 0.5000 0.5000 0.5000  12 Y 3.45, 4 Pt 3.61
Pt: 0.7500 0.7500 0.7500  12 Y 3.45, 4 Tc 3.61

Computed properties:
Energy of formation ... 0.736 eV per atom

---

[7]
Below is a geometry-optimized BaSr2LiMg structure, with properties calculated at the GGA-PBE level.

Cell lengths 6.2300, 6.2300, 5.6099 Å; angles 90.00, 90.00, 90.00 degrees
Last column: nearest neighbours and their distance in Å.
Fractional positions:
Ba: 0.0000 0.0000 0.0000  8 Sr 4.19, 4 Mg 4.41
Sr: 0.0000 0.5000 0.5000  2 Li 3.11
Sr: 0.5000 0.0000 0.5000  2 Li 3.11
Li: 0.5000 0.5000 0.5000  2 Mg 2.80, 4 Sr 3.11
Mg: 0.5000 0.5000 0.0000  2 Li 2.80

Computed properties:
Energy of formation ... 0.126 eV per atom